Computed, not measured: crystalline TaAg2BiI at its relaxed geometry at the GGA-PBE level of DFT.

a b c (Å): 5.2916 5.2916 5.2126
angles (deg): 90.00 90.00 90.00
Last column: nearest neighbours and their distance in Å.
Fractional coordinates of all 5 atoms:
1 Ta 0.0000 0.0000 0.0000  2 I 2.61
2 Ag 0.0000 0.5000 0.5000  2 I 2.65
3 Ag 0.5000 0.0000 0.5000  2 I 2.65
4 Bi 0.5000 0.5000 0.0000  8 Ag 3.71, 4 Ta 3.74
5 I 0.0000 0.0000 0.5000  2 Ta 2.61, 4 Ag 2.65

***

Computed, not measured: crystalline AgBiTe2I at its relaxed geometry at the GGA-PBE level of DFT.

ΔE to the lowest computed polymorph	0	kJ/mol of formula units

a b c (Å): 5.5244 5.5244 5.3977
angles (deg): 90.00 90.00 90.00
Last column: nearest neighbours and their distance in Å.
Fractional coordinates of all 5 atoms:
1 Ag 0.0000 0.0000 0.0000  2 I 2.70, 4 Te 2.76
2 Bi 0.5000 0.5000 0.5000  8 Te 3.86, 4 I 3.91
3 Te 0.0000 0.5000 0.0000  2 Ag 2.76
4 Te 0.5000 0.0000 0.0000  2 Ag 2.76
5 I 0.0000 0.0000 0.5000  2 Ag 2.70

***

Computed, not measured: crystalline Ag2BiTe2I at its relaxed geometry at the GGA-PBE level of DFT.

a b c (Å): 7.1651 8.2726 7.3509
angles (deg): 90.00 118.11 90.00
Last column: nearest neighbours and their distance in Å.
Fractional coordinates of all 12 atoms:
1 Ag 0.0206 0.2500 0.0448  4 Te 2.94-3.00, 1 I 3.13, 1 Ag 3.24
2 Ag 0.3734 0.2500 0.8872  1 I 2.95, 4 Te 3.00-3.02, 1 Ag 3.24
3 Ag 0.6266 0.7500 0.1128  1 I 2.95, 4 Te 3.00-3.02, 1 Ag 3.24
4 Ag 0.9794 0.7500 0.9552  4 Te 2.94-3.00, 1 I 3.13, 1 Ag 3.24
5 Bi 0.4026 0.7500 0.5173  1 I 3.03, 4 Te 3.13-3.17
6 Bi 0.5974 0.2500 0.4827  1 I 3.03, 4 Te 3.13-3.17
7 Te 0.3334 0.5112 0.1539  4 Ag 2.94-3.02, 2 Bi 3.13-3.17
8 Te 0.3334 0.9888 0.1539  4 Ag 2.94-3.02, 2 Bi 3.13-3.17
9 Te 0.6666 0.0112 0.8461  4 Ag 2.94-3.02, 2 Bi 3.13-3.17
10 Te 0.6666 0.4888 0.8461  4 Ag 2.94-3.02, 2 Bi 3.13-3.17
11 I 0.0122 0.2500 0.4668  2 Ag 2.95-3.13, 1 Bi 3.03
12 I 0.9878 0.7500 0.5332  2 Ag 2.95-3.13, 1 Bi 3.03

***

Calculated density / kg/m3: 8334, 7046, 6972
Size of the total moment / Bohr magnetons per cell: 1.686, 0.000, 0.000
Raw formation energy / eV per atom: 1.3499, 0.3731, -0.0733